The following is a PBE calculation of ZnBi after structural relaxation, from the Open Quantum Materials Database.

```
16
Lattice="5.3117 0.0000 0.0000 0.0000 12.4643 0.0000 0.0000 0.0000 5.8315" Properties=species:S:1:pos:R:3 pbc="T T T"
Zn 1.3279 12.4611 0.6665
Zn 1.3279 1.7531 4.5871
Zn 1.3279 4.4790 4.5871
Zn 1.3279 6.2353 0.6665
Zn 3.9838 0.0032 5.1650
Zn 3.9838 6.2290 5.1650
Zn 3.9838 7.9852 1.2444
Zn 3.9838 10.7112 1.2444
Bi 1.3279 3.1161 1.8568
Bi 1.3279 7.3075 3.4656
Bi 1.3279 9.3482 0.6211
Bi 1.3279 11.3889 3.4656
Bi 3.9838 1.0753 2.3659
Bi 3.9838 3.1161 5.2104
Bi 3.9838 5.1568 2.3659
Bi 3.9838 9.3482 3.9747
```

Values from the calculation:
uncorrected energy: -2.4851 eV per atom

---

The following is a PBE calculation of Zn2Bi after structural relaxation, from the Open Quantum Materials Database.

```
6
Lattice="5.4254 -2.5339 0.0000 5.4254 2.5339 0.0000 0.0000 0.0000 4.5808" Properties=species:S:1:pos:R:3 pbc="T T T"
Zn 2.3375 0.7096 1.1452
Zn 2.3375 -0.7096 3.4356
Zn 8.5133 0.7096 1.1452
Zn 8.5133 -0.7096 3.4356
Bi 5.4254 1.2265 1.1452
Bi 5.4254 -1.2265 3.4356
```

Values from the calculation:
uncorrected energy: -2.0493 eV per atom

---

The following is a PBE calculation of ZnBi after structural relaxation, from the Open Quantum Materials Database.

```
12
Lattice="5.0746 0.0000 0.0000 0.0000 9.7969 0.0000 0.0000 0.0000 5.9405" Properties=species:S:1:pos:R:3 pbc="T T T"
Zn 0.0000 0.4068 0.0000
Zn 0.0000 2.3475 3.9788
Zn 0.0000 7.4495 1.0085
Zn 0.0000 9.3901 2.9702
Zn 2.5373 1.9583 5.6498
Zn 2.5373 7.8386 2.6796
Bi 0.0000 3.2298 1.0648
Bi 0.0000 6.5671 4.0350
Bi 2.5373 1.0176 2.5395
Bi 2.5373 4.2485 3.8482
Bi 2.5373 5.5485 0.8779
Bi 2.5373 8.7793 5.5097
```

Values from the calculation:
uncorrected energy: -2.4826 eV per atom

---

The following is a PBE calculation of Zn2Bi after structural relaxation, from the Open Quantum Materials Database.

```
12
Lattice="5.2596 0.0000 0.0000 0.0000 10.5014 0.0000 0.0000 0.0000 4.6418" Properties=species:S:1:pos:R:3 pbc="T T T"
Zn 1.3149 1.3476 0.3371
Zn 1.3149 2.6253 2.6546
Zn 1.3149 3.9031 0.3371
Zn 1.3149 7.8760 0.6960
Zn 3.9447 2.6253 3.9458
Zn 3.9447 6.5983 4.3047
Zn 3.9447 7.8760 1.9872
Zn 3.9447 9.1538 4.3047
Bi 1.3149 6.0051 3.0350
Bi 1.3149 9.7470 3.0350
Bi 3.9447 0.7544 1.6069
Bi 3.9447 4.4963 1.6069
```

Values from the calculation:
uncorrected energy: -2.0355 eV per atom

---

The following is a PBE calculation of ZnBi after structural relaxation, from the Open Quantum Materials Database.

```
12
Lattice="5.2213 0.0000 0.0000 0.0000 10.3315 0.0000 0.0000 0.0000 5.5600" Properties=species:S:1:pos:R:3 pbc="T T T"
Zn 0.0000 0.6081 0.0000
Zn 0.0000 4.3992 0.1786
Zn 0.0000 5.9323 2.9586
Zn 0.0000 9.7233 2.7800
Zn 2.6106 4.4273 2.2669
Zn 2.6106 5.9041 5.0468
Bi 0.0000 3.0146 2.8726
Bi 0.0000 7.3169 0.0926
Bi 2.6106 0.8191 2.0652
Bi 2.6106 3.0447 5.1036
Bi 2.6106 7.2868 2.3236
Bi 2.6106 9.5124 4.8452
```

Values from the calculation:
uncorrected energy: -2.4614 eV per atom

---

The following is a PBE calculation of ZnBi after structural relaxation, from the Open Quantum Materials Database.

```
8
Lattice="5.0970 0.0000 0.0000 0.0000 7.1236 0.0000 0.0000 0.0000 5.5526" Properties=species:S:1:pos:R:3 pbc="T T T"
Zn 0.0000 0.0000 0.0000
Zn 0.0000 1.3822 3.2001
Zn 0.0000 5.7414 3.2001
Zn 2.5485 0.0000 4.0785
Bi 0.0000 3.5618 0.0717
Bi 2.5485 1.5794 1.3722
Bi 2.5485 3.5618 3.8305
Bi 2.5485 5.5442 1.3722
```

Values from the calculation:
uncorrected energy: -2.4313 eV per atom

---

The following is a PBE calculation of Zn3Bi after structural relaxation, from the Open Quantum Materials Database.

```
8
Lattice="4.3640 0.0000 0.0000 0.0000 6.0298 0.0000 0.0000 0.0000 5.9434" Properties=species:S:1:pos:R:3 pbc="T T T"
Zn 1.0910 0.0238 0.7826
Zn 1.0910 2.9911 0.7826
Zn 1.0910 4.5223 4.5968
Zn 3.2730 1.5074 1.3466
Zn 3.2730 3.0387 5.1608
Zn 3.2730 6.0059 5.1608
Bi 1.0910 1.5074 3.5163
Bi 3.2730 4.5223 2.4271
```

Values from the calculation:
uncorrected energy: -1.8219 eV per atom

---

The following is a PBE calculation of ZnBi after structural relaxation, from the Open Quantum Materials Database.

```
8
Lattice="3.4051 0.0000 0.0000 0.0000 5.3107 0.0000 0.0000 0.0000 10.8387" Properties=species:S:1:pos:R:3 pbc="T T T"
Zn 0.8513 1.3277 0.1294
Zn 0.8513 3.9831 1.8425
Zn 2.5538 1.3277 8.9962
Zn 2.5538 3.9831 10.7094
Bi 0.8513 1.3277 6.3106
Bi 0.8513 3.9831 8.2141
Bi 2.5538 1.3277 2.6247
Bi 2.5538 3.9831 4.5281
```

Values from the calculation:
uncorrected energy: -2.5006 eV per atom

---

Look up the uncorrected energy of the fifth one.
-2.4614 eV per atom